1.
CdRuPt2: optimized geometry, PBE.

Results
E = -5.51 eV/atom
Formation energy from the elements = 60 meV per atom
Fermi-level density of states = 4.7 states/eV per cell
Magnetization = 0.6 μB per formula unit

abc: 4.856 4.856 5.015
angles: 81.21 81.21 33.63
Site moments in Bohr magnetons follow the coordinates.
Atoms (fractional coordinates):
1 Cd 0.250 0.250 0.250  0.00
2 Pt 0.006 0.006 0.986  0.04
3 Pt 0.494 0.494 0.514  0.04
4 Ru 0.750 0.750 0.750  0.54



2.
CdRu2Pt: optimized geometry, PBE.

Results
E = -5.94 eV/atom
Formation energy from the elements = 436 meV per atom
Fermi-level density of states = 6.0 states/eV per cell
Magnetization = 0.0 μB per formula unit

abc: 4.719 4.719 2.847
angles: 90.00 90.00 90.00
Atoms (fractional coordinates):
1 Cd 0.500 0.000 0.500
2 Pt 0.000 0.500 0.500
3 Ru 0.000 0.000 0.000
4 Ru 0.500 0.500 0.000



3.
CdRuPt: optimized geometry, PBE.

Results
E = -5.28 eV/atom
Formation energy from the elements = 134 meV per atom
Fermi-level density of states = 3.2 states/eV per cell
Magnetization = 0.0 μB per formula unit

abc: 2.853 2.853 6.950
angles: 90.00 90.00 120.00
Atoms (fractional coordinates):
1 Cd 0.000 0.000 0.998
2 Pt 0.667 0.333 0.349
3 Ru 0.333 0.667 0.654